# 1
A relaxed MnTlBr crystal, computed with PBE-GGA.

Properties
The calculation puts the density at 7.2 Mg/m³. As for the total energy: -0.159 Ha/atom. For the density of states at the Fermi level, the calculation gives 0.735 states/eV/atom. The total magnetization comes out at 4.38 μB/f.u.

Lattice parameters (Å, degrees): 3.435 3.435 13.270 90.00 90.00 90.00
Space group I4mm (No. 107)
Symmetry-distinct sites (fractional):
1 Mn 0.000 0.000 0.000
2 Tl 0.000 0.000 0.647
3 Br 0.000 0.000 0.393

---

# 2
A relaxed Mn2TlBr crystal, computed with PBE-GGA.

Properties
The calculation puts the density at 7.9 Mg/m³. As for the total energy: -0.184 Ha/atom. For the density of states at the Fermi level, the calculation gives 1.054 states/eV/atom. The total magnetization comes out at 7.64 μB/f.u.

Lattice parameters (Å, degrees): 6.916 6.916 6.916 90.00 90.00 90.00
Space group Fm-3m (No. 225)
Symmetry-distinct sites (fractional):
1 Mn 0.250 0.250 0.250
2 Tl 0.000 0.000 0.000
3 Br 0.000 0.000 0.500

---

# 3
A relaxed MnTl6Br8 crystal, computed with PBE-GGA.

Properties
The calculation puts the density at 5.9 Mg/m³. As for the total energy: -0.120 Ha/atom. For the density of states at the Fermi level, the calculation gives 0.000 states/eV/atom. The total magnetization comes out at 5.00 μB/f.u.

Lattice parameters (Å, degrees): 9.8025 9.8025 6.4809 90.00 90.00 120.00
Space group P-3 (No. 147)
Symmetry-distinct sites (fractional):
1 Mn 0.0000 0.0000 0.0000
2 Tl 0.0012 0.3740 0.7196
3 Br 0.0006 0.2354 0.2258
4 Br 0.3333 0.6667 0.4980

---

# 4
A relaxed MnTl2Br5 crystal, computed with PBE-GGA.

Properties
The calculation puts the density at 5.0 Mg/m³. As for the total energy: -0.130 Ha/atom. The total magnetization comes out at 4.00 μB/f.u.

Lattice parameters (Å, degrees): 7.608 7.608 9.902 90.00 90.00 90.00
Space group I4mm (No. 107)
Symmetry-distinct sites (fractional):
1 Mn 0.000 0.000 0.000
2 Tl 0.000 0.500 0.251
3 Br 0.000 0.000 0.250
4 Br 0.226 0.226 0.959

---

# 5
A relaxed Mn2TlBr crystal, computed with PBE-GGA.

Properties
The calculation puts the density at 7.3 Mg/m³. As for the total energy: -0.192 Ha/atom. For the density of states at the Fermi level, the calculation gives 0.361 states/eV/atom. The total magnetization comes out at 7.91 μB/f.u.

Lattice parameters (Å, degrees): 3.238 4.626 11.935 90.00 90.00 90.00
Space group Imm2 (No. 44)
Symmetry-distinct sites (fractional):
1 Mn 0.000 0.000 0.000
2 Mn 0.000 0.500 0.310
3 Tl 0.000 0.500 0.843
4 Br 0.000 0.000 0.617

---

# 6
A relaxed MnTlBr4 crystal, computed with PBE-GGA.

Properties
The calculation puts the density at 4.2 Mg/m³. As for the total energy: -0.137 Ha/atom. For the density of states at the Fermi level, the calculation gives 0.416 states/eV/atom. The total magnetization comes out at 4.00 μB/f.u.

Lattice parameters (Å, degrees): 15.744 5.418 11.295 90.00 107.61 90.00
Space group C2/m (No. 12)
Symmetry-distinct sites (fractional):
1 Mn 0.107 0.000 0.136
2 Tl 0.208 0.000 0.679
3 Br 0.058 0.000 0.897
4 Br 0.105 0.500 0.136
5 Br 0.142 0.000 0.364
6 Br 0.236 0.500 0.857

---

# 7
A relaxed MnTlBr crystal, computed with PBE-GGA.

Properties
The calculation puts the density at 6.8 Mg/m³. As for the total energy: -0.149 Ha/atom. For the density of states at the Fermi level, the calculation gives 1.326 states/eV/atom. The total magnetization comes out at 4.22 μB/f.u.

Lattice parameters (Å, degrees): 6.935 6.935 6.935 90.00 90.00 90.00
Space group F-43m (No. 216)
Symmetry-distinct sites (fractional):
1 Mn 0.000 0.000 0.000
2 Tl 0.250 0.250 0.250
3 Br 0.250 0.250 0.750

---

# 8
A relaxed Mn2TlBr crystal, computed with PBE-GGA.

Properties
The calculation puts the density at 7.3 Mg/m³. As for the total energy: -0.195 Ha/atom. For the density of states at the Fermi level, the calculation gives 0.989 states/eV/atom. The total magnetization comes out at 8.02 μB/f.u.

Lattice parameters (Å, degrees): 3.4000 3.4000 26.9873 90.00 90.00 120.00
Space group R3m (No. 160, hexagonal axes)
Symmetry-distinct sites (fractional):
1 Mn 0.0000 0.0000 0.0000
2 Mn 0.0000 0.0000 0.2600
3 Tl 0.0000 0.0000 0.7497
4 Br 0.0000 0.0000 0.5291

---

| no. | V (Å³ per cell) |
| --- | --- |
| 1 | 156.57 |
| 2 | 330.84 |
| 3 | 539.30 |
| 4 | 573.09 |
| 5 | 178.80 |
| 6 | 918.32 |
| 7 | 333.54 |
| 8 | 270.17 |